# 1
Here is a crystal of LiOsRh relaxed with PBEsol from the Alexandria database. Energies are from SCAN.

Unit cell a=4.003 b=4.003 c=4.003 alpha=60.00 beta=60.00 gamma=60.00
Positions (direct):
Li 0.000 0.000 0.000
Rh 0.250 0.250 0.250
Os 0.500 0.500 0.500

Computed properties:
- space group = No. 216
- electronic total energy (eV/atom) = -35.61
- energy relative to the elements (eV per atom) = 0.404

=====

# 2
Here is a crystal of CuAg2BBr relaxed with PBEsol from the Alexandria database. Energies are from SCAN.

Unit cell a=3.778 b=4.946 c=4.946 alpha=90.00 beta=90.00 gamma=90.00
Positions (direct):
Ag 0.000 0.000 0.500
Br 0.500 0.500 0.500
Ag 0.000 0.500 0.000
Cu 0.000 0.000 0.000
B 0.500 0.000 0.000

Computed properties:
- space group = No. 123
- energy relative to the elements, uncorrected (meV per atom) = 725
- electronic total energy (eV/atom) = -20.24

=====

# 3
Here is a crystal of Ni3HPt relaxed with PBEsol from the Alexandria database. Energies are from SCAN.

Unit cell a=3.633 b=3.633 c=3.633 alpha=90.00 beta=90.00 gamma=90.00
Site moments in Bohr magnetons follow the coordinates.
Positions (direct):
Ni 0.000 0.000 0.500  0.65
Ni 0.000 0.500 0.000  0.65
Ni 0.500 0.000 0.000  0.65
H 0.000 0.000 0.000  -0.01
Pt 0.500 0.500 0.500  0.32

Computed properties:
- polymorph energy (0 for the lowest one) (eV/atom) = 0.000
- space group = No. 221
- electronic total energy (eV/atom) = -24.49

=====

# 4
Here is a crystal of CaTa2Cr relaxed with PBEsol from the Alexandria database. Energies are from SCAN.

Unit cell a=2.828 b=5.412 c=5.688 alpha=114.82 beta=98.13 gamma=103.02
Site moments in Bohr magnetons follow the coordinates.
Positions (direct):
Ta 0.000 0.000 0.500  -0.24
Ca 0.000 0.500 0.000  0.00
Ta 0.500 0.500 0.500  -0.24
Cr 0.500 0.000 0.000  3.47

Computed properties:
- polymorph energy (0 for the lowest one) (eV/atom) = 0.217
- space group = No. 12
- electronic total energy (eV/atom) = -39.60
- energy relative to the elements (eV per atom) = 0.701

=====

# 5
Here is a crystal of InPt2Au relaxed with PBEsol from the Alexandria database. Energies are from SCAN.

Unit cell a=4.121 b=4.121 c=4.846 alpha=115.16 beta=115.16 gamma=90.00
Positions (direct):
Pt 0.250 0.750 0.500
Pt 0.750 0.250 0.500
In 0.500 0.500 0.000
Au 0.000 0.000 0.000

Computed properties:
- space group = No. 139
- electronic total energy (eV/atom) = -61.03
- energy relative to the elements (eV per atom) = -0.299

=====

# 6
Here is a crystal of TlCuSb2 relaxed with PBEsol from the Alexandria database. Energies are from SCAN.

Unit cell a=3.983 b=3.983 c=7.454 alpha=74.50 beta=74.50 gamma=60.00
Positions (direct):
Sb 0.726 0.726 0.822
Sb 0.274 0.274 0.178
Cu 0.000 0.000 0.000
Tl 0.500 0.500 0.500

Computed properties:
- polymorph energy (0 for the lowest one) (eV/atom) = 0.003
- space group = No. 166
- energy relative to the elements, uncorrected (meV per atom) = 57
- electronic total energy (eV/atom) = -40.46

=====

Fermi-level density of states (computed, states/eV per atom): 0.559; 0.446; 0.884; 0.980; 0.297; 0.436